Zr3Al3Pd2Au: relaxed, PBE-GGA.

Summary:
Total DFT energy (no corrections)   -56.6 eV for the cell shown

```
data_Zr3Al3Pd2Au
_cell_length_a 7.2074
_cell_length_b 7.2074
_cell_length_c 3.6554
_cell_angle_alpha 90.00
_cell_angle_beta 90.00
_cell_angle_gamma 120.00
_space_group_name_H-M_alt 'P -6 2 m'
_space_group_IT_number 189
_space_group_name_Hall 'P -6 -2'
loop_
_atom_site_label
_atom_site_fract_x
_atom_site_fract_y
_atom_site_fract_z
_atom_site_occupancy
Zr1 0.0000 0.4021 0.0000 1
Al1 0.0000 0.7354 0.5000 1
Pd1 0.3333 0.6667 0.5000 1
Au1 0.0000 0.0000 0.0000 1
```

Zr2Al2Pd3Au: relaxed, PBE-GGA.

Summary:
Total DFT energy (no corrections)   -49.6 eV for the cell shown

```
data_Zr2Al2Pd3Au
_cell_length_a 4.3495
_cell_length_b 4.3495
_cell_length_c 8.6214
_cell_angle_alpha 90.00
_cell_angle_beta 90.00
_cell_angle_gamma 120.00
_space_group_name_H-M_alt 'P 3 m 1'
_space_group_IT_number 156
loop_
_space_group_symop_operation_xyz
'x,y,z'
'-y,x-y,z'
'-x+y,-x,z'
'-y,-x,z'
'-x+y,y,z'
'x,x-y,z'
loop_
_atom_site_label
_atom_site_fract_x
_atom_site_fract_y
_atom_site_fract_z
_atom_site_occupancy
Zr1 0.0000 0.0000 0.0000 1
Zr2 0.3333 0.6667 0.4885 1
Al1 0.6667 0.3333 0.2425 1
Al2 0.6667 0.3333 0.7622 1
Pd1 0.0000 0.0000 0.3297 1
Pd2 0.3333 0.6667 0.1607 1
Pd3 0.3333 0.6667 0.8306 1
Au1 0.0000 0.0000 0.6580 1
```

Zr2Al2PdAu3: relaxed, PBE-GGA.

Summary:
Total DFT energy (no corrections)   -44.6 eV for the cell shown

```
data_Zr2Al2PdAu3
_cell_length_a 4.4425
_cell_length_b 4.4425
_cell_length_c 8.6865
_cell_angle_alpha 90.00
_cell_angle_beta 90.00
_cell_angle_gamma 120.00
_space_group_name_H-M_alt 'P 3 m 1'
_space_group_IT_number 156
loop_
_space_group_symop_operation_xyz
'x,y,z'
'-y,x-y,z'
'-x+y,-x,z'
'-y,-x,z'
'-x+y,y,z'
'x,x-y,z'
loop_
_atom_site_label
_atom_site_fract_x
_atom_site_fract_y
_atom_site_fract_z
_atom_site_occupancy
Zr1 0.0000 0.0000 0.0000 1
Zr2 0.3333 0.6667 0.5042 1
Al1 0.6667 0.3333 0.2547 1
Al2 0.6667 0.3333 0.7640 1
Pd1 0.3333 0.6667 0.8318 1
Au1 0.0000 0.0000 0.3442 1
Au2 0.0000 0.0000 0.6713 1
Au3 0.3333 0.6667 0.1574 1
```

PmAl2Au2: relaxed, PBE-GGA.

Summary:
Total DFT energy (no corrections)   -45.0 eV for the cell shown

```
data_PmAl2Au2
_cell_length_a 4.402
_cell_length_b 4.402
_cell_length_c 10.500
_cell_angle_alpha 90.00
_cell_angle_beta 90.00
_cell_angle_gamma 90.00
_space_group_name_H-M_alt 'P 4/n m m'
_space_group_IT_number 129
loop_
_space_group_symop_operation_xyz
'x,y,z'
'-x,-y,-z'
'-y+1/2,x,z'
'y+1/2,-x,-z'
'-x+1/2,-y+1/2,z'
'x+1/2,y+1/2,-z'
'y,-x+1/2,z'
'-y,x+1/2,-z'
'x+1/2,-y,-z'
'-x+1/2,y,z'
'-y,-x,-z'
'y,x,z'
'-x,y+1/2,-z'
'x,-y+1/2,z'
'y+1/2,x+1/2,-z'
'-y+1/2,-x+1/2,z'
loop_
_atom_site_label
_atom_site_fract_x
_atom_site_fract_y
_atom_site_fract_z
_atom_site_occupancy
Pm1 0.250 0.250 0.248 1
Al1 0.250 0.250 0.868 1
Al2 0.250 0.750 0.500 1
Au1 0.250 0.250 0.630 1
Au2 0.250 0.750 0.000 1
```